A) ## NiSb2CI (PBE)

Data for crystalline NiSb2CI at its relaxed geometry.

Computed properties:
ρ, g/cm3: 5.704

Unit cell a=4.9236 b=4.9236 c=5.2972 alpha=90.00 beta=90.00 gamma=90.00
With the nearest neighbours (Å) after each atom.
Element x y z (fractional)
Ni  0.0000  0.0000  0.0000  4 Sb 2.46, 2 I 2.65
C  0.5000  0.5000  0.5000  4 I 3.48, 8 Sb 3.62
Sb  0.0000  0.5000  0.0000  2 Ni 2.46
Sb  0.5000  0.0000  0.0000  2 Ni 2.46
I  0.0000  0.0000  0.5000  2 Ni 2.65

***

B) ## NiSb2CI (PBE)

Data for crystalline NiSb2CI at its relaxed geometry.

Computed properties:
ρ, g/cm3: 6.837

Unit cell a=4.6742 b=4.6742 c=4.9038 alpha=90.00 beta=90.00 gamma=90.00
With the nearest neighbours (Å) after each atom.
Element x y z (fractional)
Ni  0.5000  0.5000  0.5000  4 I 3.31, 8 Sb 3.39
Sb  0.0000  0.5000  0.0000  2 C 2.34
Sb  0.5000  0.0000  0.0000  2 C 2.34
C  0.0000  0.0000  0.0000  4 Sb 2.34, 2 I 2.45
I  0.0000  0.0000  0.5000  2 C 2.45

***

B) wins, 256 meV/atom ahead of the next structure.

***

A) ## NiTeCI2 (PBE)

Data for crystalline NiTeCI2 at its relaxed geometry.

Computed properties:
ρ, g/cm3: 6.337

Unit cell a=5.0473 b=5.0473 c=4.6507 alpha=90.00 beta=90.00 gamma=90.00
With the nearest neighbours (Å) after each atom.
Element x y z (fractional)
I  0.0000  0.5000  0.0000  2 C 2.52
I  0.5000  0.0000  0.0000  2 C 2.52
C  0.0000  0.0000  0.0000  2 Te 2.33, 4 I 2.52
Ni  0.5000  0.5000  0.5000  8 I 3.43, 4 Te 3.57
Te  0.0000  0.0000  0.5000  2 C 2.33

***

B) ## NiTeCI2 (PBE)

Data for crystalline NiTeCI2 at its relaxed geometry.

Computed properties:
ρ, g/cm3: 5.396

Unit cell a=5.2914 b=5.2914 c=4.9689 alpha=90.00 beta=90.00 gamma=90.00
With the nearest neighbours (Å) after each atom.
Element x y z (fractional)
Te  0.0000  0.0000  0.5000  2 Ni 2.48
I  0.0000  0.5000  0.0000  2 Ni 2.65
I  0.5000  0.0000  0.0000  2 Ni 2.65
C  0.5000  0.5000  0.5000  8 I 3.63, 4 Te 3.74
Ni  0.0000  0.0000  0.0000  2 Te 2.48, 4 I 2.65

***

A) wins, 93 meV/atom ahead of the next structure.

***

A) ## PdCIO2 (PBE)

Data for crystalline PdCIO2 at its relaxed geometry.

Computed properties:
ρ, g/cm3: 3.973

Unit cell a=3.7393 b=3.7393 c=8.2895 alpha=90.00 beta=90.00 gamma=90.00
With the nearest neighbours (Å) after each atom.
Element x y z (fractional)
O  0.5000  0.0000  0.0000  2 Pd 1.87
O  0.0000  0.5000  0.0000  2 Pd 1.87
I  0.0000  0.0000  0.5000  4 C 2.64
Pd  0.0000  0.0000  0.0000  4 O 1.87
C  0.5000  0.5000  0.5000  4 I 2.64

***

B) ## PdCIO2 (PBE)

Data for crystalline PdCIO2 at its relaxed geometry.

Computed properties:
ρ, g/cm3: 7.033

Unit cell a=3.6910 b=3.6910 c=4.8065 alpha=90.00 beta=90.00 gamma=90.00
With the nearest neighbours (Å) after each atom.
Element x y z (fractional)
C  0.0000  0.0000  0.0000  4 O 1.85
O  0.0000  0.5000  0.0000  2 C 1.85
O  0.5000  0.0000  0.0000  2 C 1.85
I  0.0000  0.0000  0.5000  2 C 2.40, 4 Pd 2.61
Pd  0.5000  0.5000  0.5000  4 I 2.61

***

A) wins, 62 meV/atom ahead of the next structure.